PmMnF2 | GGA+U | relaxed

Its magnetization is 11.4 μB per cell. The total energy is -23.4 eV/f.u. The crystal system is trigonal.

The space group is R-3m (No. 166, hexagonal axes) and the conventional cell measures 3.7195, 3.7195 and 18.8882 Å, with angles of 90.00, 90.00 and 120.00 degrees. The asymmetric unit holds Pm at (0.0000, 0.0000, 0.0000), Mn at (0.0000, 0.0000, 0.5000) and F at (0.0000, 0.0000, 0.1260).